TcRh: relaxed, PBEsol.

a = 4.4963 Å, b = 4.4963 Å, c = 4.4963 Å
α = 55.99°, β = 55.99°, γ = 55.99°
Last column: nearest neighbours and their distance in Å.
Sites, in units of the cell vectors:
Tc  0.1618  0.1618  0.1618  3 Tc 2.44, 1 Rh 2.54
Tc  0.8382  0.8382  0.8382  3 Tc 2.44, 1 Rh 2.54
Rh  0.3855  0.3855  0.3855  7 Tc 2.54-2.79, 4 Rh 2.60-2.71
Rh  0.6145  0.6145  0.6145  7 Tc 2.54-2.79, 4 Rh 2.60-2.71

Calculated values
The formation energy from the elements is 0.26 eV/atom.

LaZnPb2: relaxed, PBEsol.

a = 3.5175 Å, b = 4.2194 Å, c = 7.0247 Å
α = 90.00°, β = 90.00°, γ = 90.00°
Last column: nearest neighbours and their distance in Å.
Sites, in units of the cell vectors:
La  0.0000  0.0000  0.0000  8 Pb 3.40, 2 Zn 3.51, 2 La 3.52
Zn  0.0000  0.0000  0.5000  8 Pb 3.13
Pb  0.5000  0.5000  0.2850  1 Pb 3.02, 4 Zn 3.13
Pb  0.5000  0.5000  0.7150  1 Pb 3.02, 4 Zn 3.13

Calculated values
The formation energy from the elements is -0.19 eV/atom.

CaAlBr: relaxed, PBEsol.

a = 6.8740 Å, b = 6.8740 Å, c = 6.8740 Å
α = 149.72°, β = 149.72°, γ = 43.36°
Last column: nearest neighbours and their distance in Å.
Sites, in units of the cell vectors:
Ca  0.0000  0.0000  0.0000  4 Br 2.99, 4 Al 3.19
Al  0.3495  0.3495  0.0000  4 Ca 3.19, 1 Br 3.49
Br  0.6230  0.6230  0.0000  4 Ca 2.99

Calculated values
The raw formation energy comes out at -1.62 eV per formula unit.

RbPSe3: relaxed, PBEsol.

a = 4.9702 Å, b = 4.9702 Å, c = 4.9702 Å
α = 90.00°, β = 90.00°, γ = 90.00°
Last column: nearest neighbours and their distance in Å.
Sites, in units of the cell vectors:
Rb  0.0000  0.0000  0.0000  12 Se 3.51
P  0.5000  0.5000  0.5000  6 Se 2.49
Se  0.0000  0.5000  0.5000  2 P 2.49
Se  0.5000  0.0000  0.5000  2 P 2.49
Se  0.5000  0.5000  0.0000  2 P 2.49

Calculated values
The raw formation energy comes out at -0.86 eV per formula unit.

KTlAg: relaxed, PBEsol.

a = 6.6427 Å, b = 6.6427 Å, c = 6.6427 Å
α = 147.13°, β = 147.13°, γ = 47.17°
Last column: nearest neighbours and their distance in Å.
Sites, in units of the cell vectors:
K  0.0000  0.0000  0.0000  5 Tl 3.59-3.65, 5 Ag 3.60-3.66, 4 K 3.76
Tl  0.2945  0.2945  0.0000  4 Ag 2.90
Ag  0.6994  0.6994  0.0000  4 Tl 2.90

Calculated values
The formation energy from the elements is 0.05 eV/atom.

GeO2: relaxed, PBEsol.

a = 4.4249 Å, b = 4.4249 Å, c = 2.8858 Å
α = 90.00°, β = 90.00°, γ = 90.00°
Last column: nearest neighbours and their distance in Å.
Sites, in units of the cell vectors:
Ge  0.0000  0.0000  0.0000  6 O 1.88-1.92
Ge  0.5000  0.5000  0.5000  6 O 1.88-1.92
O  0.1937  0.1937  0.5000  3 Ge 1.88-1.92
O  0.3063  0.6937  0.0000  3 Ge 1.88-1.92
O  0.6937  0.3063  0.0000  3 Ge 1.88-1.92
O  0.8063  0.8063  0.5000  3 Ge 1.88-1.92

Calculated values
The raw formation energy comes out at -5.14 eV per formula unit.

Re3C: relaxed, PBEsol.

a = 2.8223 Å, b = 2.8223 Å, c = 7.1269 Å
α = 90.00°, β = 90.00°, γ = 120.00°
Last column: nearest neighbours and their distance in Å.
Sites, in units of the cell vectors:
Re  0.0000  0.0000  0.0000  12 Re 2.71-2.82
Re  0.3333  0.6667  0.3045  3 C 2.14
Re  0.3333  0.6667  0.6955  3 C 2.14
C  0.0000  0.0000  0.5000  6 Re 2.14

Calculated values
The formation energy from the elements is -0.07 eV/atom.

La2NiRh: relaxed, PBEsol.

a = 4.9440 Å, b = 4.9440 Å, c = 3.5247 Å
α = 90.00°, β = 90.00°, γ = 90.00°
Last column: nearest neighbours and their distance in Å.
Sites, in units of the cell vectors:
La  0.0000  0.5000  0.0000  4 Ni 3.04, 4 Rh 3.04
La  0.5000  0.0000  0.0000  4 Ni 3.04, 4 Rh 3.04
Ni  0.0000  0.0000  0.5000  8 La 3.04
Rh  0.5000  0.5000  0.5000  8 La 3.04

Calculated values
The formation energy from the elements is -0.40 eV/atom.

Zn2CrWO6: relaxed, PBEsol.

a = 5.4214 Å, b = 5.4214 Å, c = 5.4214 Å
α = 56.71°, β = 56.71°, γ = 56.71°
Last column: nearest neighbours and their distance in Å.
Sites, in units of the cell vectors:
Zn  0.0000  0.0000  0.0000  3 O 1.92
Zn  0.4570  0.4570  0.4570  3 O 1.96
Cr  0.7397  0.7397  0.7397  6 O 2.00
W  0.2364  0.2364  0.2364  6 O 1.94-1.99
O  0.0056  0.3589  0.6129  1 Zn 1.92, 1 W 1.99, 1 Cr 2.00
O  0.1207  0.8636  0.4822  1 W 1.94, 1 Zn 1.96, 1 Cr 2.00
O  0.3589  0.6129  0.0056  1 Zn 1.92, 1 W 1.99, 1 Cr 2.00
O  0.4822  0.1207  0.8636  1 W 1.94, 1 Zn 1.96, 1 Cr 2.00
O  0.6129  0.0056  0.3589  1 Zn 1.92, 1 W 1.99, 1 Cr 2.00
O  0.8636  0.4822  0.1207  1 W 1.94, 1 Zn 1.96, 1 Cr 2.00

Calculated values
The raw formation energy comes out at -16.91 eV per formula unit.

SbRu3Cl: relaxed, PBEsol.

a = 4.3604 Å, b = 4.3604 Å, c = 4.3604 Å
α = 90.00°, β = 90.00°, γ = 90.00°
Last column: nearest neighbours and their distance in Å.
Sites, in units of the cell vectors:
Sb  0.0000  0.0000  0.0000  12 Ru 3.08
Ru  0.0000  0.5000  0.5000  2 Cl 2.18
Ru  0.5000  0.0000  0.5000  2 Cl 2.18
Ru  0.5000  0.5000  0.0000  2 Cl 2.18
Cl  0.5000  0.5000  0.5000  6 Ru 2.18

Calculated values
The raw formation energy comes out at 5.38 eV per formula unit.

Be2PPb: relaxed, PBEsol.

a = 3.7253 Å, b = 3.4358 Å, c = 4.9593 Å
α = 90.00°, β = 103.19°, γ = 90.00°
Last column: nearest neighbours and their distance in Å.
Sites, in units of the cell vectors:
Be  0.0000  0.0000  0.0000  2 P 2.48, 4 Pb 2.53
Be  0.5000  0.5000  0.5000  2 Pb 2.48, 4 P 2.53
P  0.0000  0.0000  0.5000  6 Be 2.48-2.53
Pb  0.5000  0.5000  0.0000  6 Be 2.48-2.53

Calculated values
The formation energy from the elements is 0.56 eV/atom.

V4P3: relaxed, PBEsol.

a = 6.7788 Å, b = 6.7788 Å, c = 16.9673 Å
α = 90.00°, β = 90.00°, γ = 152.66°
Last column: nearest neighbours and their distance in Å.
Sites, in units of the cell vectors:
V  0.0000  0.0000  0.0000  4 P 2.38-2.44, 4 V 2.61
V  0.0000  0.0000  0.5000  4 P 2.38-2.44, 4 V 2.61
V  0.0596  0.9404  0.7500  6 P 2.31-2.46
V  0.2646  0.7354  0.6607  6 P 2.30-2.52
V  0.2646  0.7354  0.8393  6 P 2.30-2.52
V  0.3309  0.6691  0.0270  5 P 2.39-2.44
V  0.3309  0.6691  0.4730  5 P 2.39-2.44
V  0.4675  0.5325  0.6190  5 P 2.32-2.40
V  0.4675  0.5325  0.8810  5 P 2.32-2.40
V  0.5325  0.4675  0.1190  5 P 2.32-2.40
V  0.5325  0.4675  0.3810  5 P 2.32-2.40
V  0.6691  0.3309  0.5270  5 P 2.39-2.44
V  0.6691  0.3309  0.9730  5 P 2.39-2.44
V  0.7354  0.2646  0.1607  6 P 2.30-2.52
V  0.7354  0.2646  0.3393  6 P 2.30-2.52
V  0.9404  0.0596  0.2500  6 P 2.31-2.46
P  0.0989  0.9011  0.6170  7 V 2.30-2.40
P  0.0989  0.9011  0.8830  7 V 2.30-2.40
P  0.1567  0.8433  0.0768  8 V 2.38-2.44
P  0.1567  0.8433  0.4232  8 V 2.38-2.44
P  0.3036  0.6964  0.2500  6 V 2.38-2.41
P  0.4178  0.5822  0.7500  6 V 2.32-2.52
P  0.5822  0.4178  0.2500  6 V 2.32-2.52
P  0.6964  0.3036  0.7500  6 V 2.38-2.41
P  0.8433  0.1567  0.5768  8 V 2.38-2.44
P  0.8433  0.1567  0.9232  8 V 2.38-2.44
P  0.9011  0.0989  0.1170  7 V 2.30-2.40
P  0.9011  0.0989  0.3830  7 V 2.30-2.40

Calculated values
The formation energy from the elements is -0.92 eV/atom.

YZr2Co9: relaxed, PBEsol.

a = 8.3326 Å, b = 8.3326 Å, c = 8.3326 Å
α = 33.05°, β = 33.05°, γ = 33.05°
Last column: nearest neighbours and their distance in Å.
Sites, in units of the cell vectors:
Y  0.0000  0.0000  0.0000  12 Co 2.76-3.00, 3 Zr 3.05
Zr  0.7236  0.7236  0.7236  9 Co 2.71-2.83
Zr  0.8607  0.8607  0.8607  18 Co 2.74-3.05
Co  0.1931  0.1931  0.1931  6 Co 2.34
Co  0.2803  0.2803  0.7780  7 Co 2.34-2.44
Co  0.2803  0.7780  0.2803  7 Co 2.34-2.44
Co  0.3605  0.3605  0.3605  6 Co 2.44-2.47
Co  0.4397  0.4397  0.9411  7 Co 2.34-2.47
Co  0.4397  0.9411  0.4397  7 Co 2.34-2.47
Co  0.5268  0.5268  0.5268  6 Co 2.34
Co  0.7780  0.2804  0.2804  7 Co 2.34-2.44
Co  0.9411  0.4397  0.4397  7 Co 2.34-2.47

Calculated values
The formation energy from the elements is -0.22 eV/atom.

How do the records compare in calculated density? In the order shown, they have 11.44; 9.85; 2.96; 4.78; 6.78; 6.15; 19.27; 8.47; 7.38; 9.22; 6.88; 5.50; 8.69 g cm⁻³.
How do the records compare in magnetic moment? In the order shown, they have 0.000; 0.000; 0.000; 0.000; 0.000; 0.000; 0.000; 0.000; 3.793; 0.009; 0.000; 0.000; 1.677 μB/f.u..